First-principles (PBE-GGA) data for a geometry-optimized LaY2IF structure, as listed in Alexandria via LeMat-Bulk.

Lattice parameters (Å, degrees): 4.709 4.709 6.186 90.00 90.00 90.00
Space group P4/mmm (No. 123)
Symmetry-distinct sites (fractional):
La 0.000 0.000 0.000 x1
Y 0.000 0.500 0.500 x2
I 0.500 0.500 0.000 x1
F 0.500 0.500 0.500 x1

Values from the calculation:
The value obtained for the total magnetic moment is 0.0 μB per formula unit. As for the uncorrected formation energy: -1138 meV/atom. The total energy is -5.39 eV/atom.